This record from the Alexandria database describes a relaxed structure of ZrUAs2. The functional is PBE-GGA.

## Properties
The symmetry is R-3m (166). The calculation puts the formation energy at -3.9 eV per formula unit. The calculation puts the magnetic moment at 0.57 μB per atom.

a = 6.959 Å, b = 6.959 Å, c = 6.959 Å
α = 32.92°, β = 32.92°, γ = 32.92°
Positions (direct):
Zr1 0.000 0.000 0.000
U1 0.500 0.500 0.500
As1 0.254 0.254 0.254
As2 0.746 0.746 0.746